# 1
An optimized crystal structure of YV2Fe, computed with PBE.

Unit cell a=4.518 b=4.518 c=4.518 alpha=60.00 beta=60.00 gamma=60.00
Fractional positions:
Y: 0.000 0.000 0.000
V: 0.250 0.250 0.250
V: 0.750 0.750 0.750
Fe: 0.500 0.500 0.500

Properties
Space-group type ... No. 225

# 2
An optimized crystal structure of YVFe2, computed with PBE.

Unit cell a=8.116 b=8.116 c=8.116 alpha=147.73 beta=147.73 gamma=46.28
Fractional positions:
Y: 0.375 0.625 0.750
Y: 0.625 0.375 0.250
V: 0.125 0.875 0.250
V: 0.875 0.125 0.750
Fe: 0.000 0.000 0.000
Fe: 0.000 0.000 0.500
Fe: 0.000 0.500 0.000
Fe: 0.500 0.000 0.500

Properties
Space-group type ... No. 141

# 3
An optimized crystal structure of YVFe2, computed with PBE.

Unit cell a=4.440 b=4.440 c=4.440 alpha=60.00 beta=60.00 gamma=60.00
Fractional positions:
Y: 0.000 0.000 0.000
V: 0.500 0.500 0.500
Fe: 0.250 0.250 0.250
Fe: 0.750 0.750 0.750

Properties
Space-group type ... No. 225

# 4
An optimized crystal structure of Y3VFe, computed with PBE.

Unit cell a=5.148 b=5.148 c=5.148 alpha=90.00 beta=90.00 gamma=90.00
Fractional positions:
Y: 0.000 0.000 0.500
Y: 0.000 0.500 0.000
Y: 0.500 0.000 0.000
V: 0.500 0.500 0.500
Fe: 0.000 0.000 0.000

Properties
Space-group type ... No. 221

# 5
An optimized crystal structure of YVFe11, computed with PBE.

Unit cell a=6.410 b=6.410 c=6.410 alpha=137.24 beta=98.03 gamma=97.24
Fractional positions:
Y: 0.000 0.000 0.000
V: 0.375 0.375 0.000
Fe: 0.004 0.004 0.501
Fe: 0.004 0.504 0.001
Fe: 0.228 0.505 0.723
Fe: 0.235 0.735 0.500
Fe: 0.363 0.005 0.358
Fe: 0.503 0.004 0.999
Fe: 0.503 0.504 0.499
Fe: 0.642 0.642 0.000
Fe: 0.647 0.005 0.642
Fe: 0.774 0.274 0.500
Fe: 0.782 0.505 0.277

Properties
Space-group type ... No. 44

# 6
An optimized crystal structure of Y2VFe, computed with PBE.

Unit cell a=6.215 b=6.215 c=6.215 alpha=104.27 beta=104.27 gamma=120.47
Fractional positions:
Y: 0.096 0.625 0.971
Y: 0.375 0.346 0.471
Y: 0.654 0.125 0.029
Y: 0.875 0.904 0.529
V: 0.250 0.750 0.500
V: 0.500 0.500 0.000
Fe: 0.000 0.000 0.000
Fe: 0.750 0.250 0.500

Properties
Space-group type ... No. 122

no.,formation energy from the elements (meV per atom),DFT total energy (eV per cell)
1,506,-31.1
2,520,-60.9
3,223,-31.6
4,478,-34.6
5,-59,-109.4
6,733,-55.2